Below is a geometry-optimized AuCS2Cl structure, with properties calculated at the PBE level.

Values from the calculation:
The density of states at the Fermi level comes out at 0.81 states/eV/atom. For the energy, the calculation gives -2.59 eV per atom. The uncorrected formation energy comes out at 44.518 kcal/mol of atoms. For the energy relative to the lowest polymorph listed for this composition, the calculation gives 0.804 eV per atom.

Unit cell a=4.901 b=4.901 c=4.913 alpha=90.00 beta=90.00 gamma=90.00
Positions (direct):
Au  0.000  0.000  0.000
C  0.500  0.500  0.500
S  0.000  0.500  0.000
S  0.500  0.000  0.000
Cl  0.000  0.000  0.500

Below is a geometry-optimized AuCS2Cl structure, with properties calculated at the PBE level.

Values from the calculation:
The density of states at the Fermi level comes out at 0.56 states/eV/atom. For the energy, the calculation gives -3.39 eV per atom. The uncorrected formation energy comes out at 25.980 kcal/mol of atoms. For the energy relative to the lowest polymorph listed for this composition, the calculation gives 0.000 eV per atom.

Unit cell a=3.838 b=3.838 c=7.745 alpha=90.00 beta=90.00 gamma=90.00
Positions (direct):
Au  0.000  0.000  0.000
C  0.500  0.500  0.500
S  0.000  0.500  0.500
S  0.500  0.000  0.500
Cl  0.500  0.500  0.000

Below is a geometry-optimized AuCSCl2 structure, with properties calculated at the PBE level.

Values from the calculation:
The density of states at the Fermi level comes out at 0.84 states/eV/atom. For the energy, the calculation gives -2.40 eV per atom. The uncorrected formation energy comes out at 38.485 kcal/mol of atoms. For the energy relative to the lowest polymorph listed for this composition, the calculation gives 0.521 eV per atom.

Unit cell a=4.952 b=4.952 c=4.945 alpha=90.00 beta=90.00 gamma=90.00
Positions (direct):
Au  0.000  0.000  0.000
C  0.500  0.500  0.500
S  0.000  0.000  0.500
Cl  0.000  0.500  0.000
Cl  0.500  0.000  0.000

Below is a geometry-optimized AuCSe2Cl structure, with properties calculated at the PBE level.

Values from the calculation:
The density of states at the Fermi level comes out at 0.75 states/eV/atom. For the energy, the calculation gives -2.49 eV per atom. The uncorrected formation energy comes out at 40.821 kcal/mol of atoms.

Unit cell a=5.168 b=5.168 c=4.887 alpha=90.00 beta=90.00 gamma=90.00
Positions (direct):
Au  0.000  0.000  0.000
C  0.500  0.500  0.500
Se  0.000  0.500  0.000
Se  0.500  0.000  0.000
Cl  0.000  0.000  0.500

Below is a geometry-optimized Co3AuC structure, with properties calculated at the PBE level.

Values from the calculation:
The formation energy comes out at 2747 meV per atom. The density of states at the Fermi level comes out at 1.69 states/eV/atom. For the energy, the calculation gives -4.02 eV per atom. For the energy relative to the lowest polymorph listed for this composition, the calculation gives 2.552 eV per atom.

Unit cell a=4.666 b=4.666 c=4.666 alpha=90.00 beta=90.00 gamma=90.00
Positions (direct):
Co  0.000  0.000  0.500
Co  0.000  0.500  0.000
Co  0.500  0.000  0.000
Au  0.000  0.000  0.000
C  0.500  0.500  0.500

Below is a geometry-optimized CoAu3C structure, with properties calculated at the PBE level.

Values from the calculation:
The formation energy comes out at 2109 meV per atom. The density of states at the Fermi level comes out at 1.11 states/eV/atom. For the energy, the calculation gives -3.12 eV per atom. For the energy relative to the lowest polymorph listed for this composition, the calculation gives 1.144 eV per atom.

Unit cell a=4.772 b=4.772 c=4.772 alpha=90.00 beta=90.00 gamma=90.00
Positions (direct):
Co  0.000  0.000  0.000
Au  0.000  0.000  0.500
Au  0.000  0.500  0.000
Au  0.500  0.000  0.000
C  0.500  0.500  0.500

- Number 2 is which compound?
  AuCS2Cl